# 1
VASP calculation (PBE) on a relaxed LiPuGeRh crystal.

The total energy comes out at -7.294 eV/atom.

a b c (Å): 4.6904 4.6904 4.6904
angles (deg): 60.00 60.00 60.00
Last column: nearest neighbours and their distance in Å.
Atoms (fractional coordinates):
Li 0.0000 0.0000 0.0000  4 Ge 2.87, 4 Rh 2.87
Pu 0.5000 0.5000 0.5000  4 Ge 2.87, 4 Rh 2.87
Ge 0.7500 0.7500 0.7500  4 Pu 2.87, 4 Li 2.87
Rh 0.2500 0.2500 0.2500  4 Pu 2.87, 4 Li 2.87


# 2
VASP calculation (PBE) on a relaxed LiNd3Ag2 crystal.

The total energy comes out at -3.785 eV/atom. Its energy above the most stable polymorph in this dataset is 9 meV/atom.

a b c (Å): 3.7802 3.7802 11.2977
angles (deg): 90.00 90.00 90.00
Last column: nearest neighbours and their distance in Å.
Atoms (fractional coordinates):
Li 0.0000 0.0000 0.0000  8 Nd 3.31
Nd 0.5000 0.5000 0.1728  4 Ag 3.22, 4 Li 3.31
Nd 0.5000 0.5000 0.5000  8 Ag 3.28
Nd 0.5000 0.5000 0.8272  4 Ag 3.22, 4 Li 3.31
Ag 0.0000 0.0000 0.3312  8 Nd 3.22-3.28
Ag 0.0000 0.0000 0.6688  8 Nd 3.22-3.28


# 3
VASP calculation (PBE) on a relaxed Na5SO crystal.

For the raw formation energy, the calculation gives -0.8749 eV/atom. The total energy comes out at -3.115 eV/atom.

a b c (Å): 6.7945 6.7945 6.7945
angles (deg): 140.58 109.73 83.68
Last column: nearest neighbours and their distance in Å.
Atoms (fractional coordinates):
Na 0.0000 0.0000 0.0000  2 O 2.29
Na 0.2308 0.7308 0.5000  1 O 2.34
Na 0.2955 0.5000 0.7955  1 O 2.31
Na 0.7045 0.5000 0.2045  1 O 2.31
Na 0.7692 0.2692 0.5000  1 O 2.34
S 0.5000 0.0000 0.5000  6 Na 2.72-2.79
O 0.0000 0.5000 0.5000  6 Na 2.29-2.34


# 4
VASP calculation (PBE) on a relaxed Cs4Au2S crystal.

For the raw formation energy, the calculation gives -0.5240 eV/atom. The total energy comes out at -2.538 eV/atom. Its energy above the most stable polymorph in this dataset is 65 meV/atom.

a b c (Å): 10.5468 10.5468 10.5468
angles (deg): 143.40 143.40 52.73
Last column: nearest neighbours and their distance in Å.
Atoms (fractional coordinates):
Cs 0.0000 0.5000 0.5000  2 S 3.31
Cs 0.1727 0.1727 0.0000  1 S 3.26, 1 Au 3.62
Cs 0.5000 0.0000 0.5000  2 S 3.31
Cs 0.8273 0.8273 0.0000  1 S 3.26, 1 Au 3.62
Au 0.3640 0.3640 0.0000  1 Cs 3.62
Au 0.6360 0.6360 0.0000  1 Cs 3.62
S 0.0000 0.0000 0.0000  6 Cs 3.26-3.31


# 5
VASP calculation (PBE) on a relaxed ZnFe2P crystal.

The total energy comes out at -5.962 eV/atom.

a b c (Å): 7.6830 7.6830 7.6830
angles (deg): 20.02 20.02 20.02
Last column: nearest neighbours and their distance in Å.
Atoms (fractional coordinates):
Zn 0.0000 0.0000 0.0000  6 Fe 2.62, 6 Zn 2.67
Fe 0.2397 0.2397 0.2397  3 P 2.26
Fe 0.7603 0.7603 0.7603  3 P 2.26
P 0.5000 0.5000 0.5000  6 Fe 2.26


# 6
VASP calculation (PBE) on a relaxed IrPd2F2 crystal.

For the raw formation energy, the calculation gives -0.1466 eV/atom. The total energy comes out at -4.744 eV/atom. Its energy above the most stable polymorph in this dataset is 0 meV/atom.

a b c (Å): 6.3382 6.3382 6.3382
angles (deg): 149.44 149.44 43.77
Last column: nearest neighbours and their distance in Å.
Atoms (fractional coordinates):
Ir 0.0000 0.0000 0.0000  8 Pd 2.72
Pd 0.3860 0.3860 0.0000  4 F 2.31
Pd 0.6140 0.6140 0.0000  4 F 2.31
F 0.2500 0.7500 0.5000  4 Pd 2.31, 4 F 2.36
F 0.7500 0.2500 0.5000  4 Pd 2.31, 4 F 2.36


# 7
VASP calculation (PBE) on a relaxed Sc3Cu crystal.

The total energy comes out at -5.735 eV/atom. Its energy above the most stable polymorph in this dataset is 174 meV/atom.

a b c (Å): 4.5738 4.5738 3.9461
angles (deg): 90.00 90.00 90.00
Last column: nearest neighbours and their distance in Å.
Atoms (fractional coordinates):
Sc 0.0000 0.0000 0.0000  8 Sc 3.02, 4 Cu 3.23
Sc 0.0000 0.5000 0.5000  4 Cu 3.02, 8 Sc 3.02-3.23
Sc 0.5000 0.0000 0.5000  4 Cu 3.02, 8 Sc 3.02-3.23
Cu 0.5000 0.5000 0.0000  12 Sc 3.02-3.23


# 8
VASP calculation (PBE) on a relaxed Pm2DyHo4Tm2 crystal.

The total energy comes out at -4.509 eV/atom.

a b c (Å): 5.9727 6.5870 8.5487
angles (deg): 79.95 70.31 64.79
Last column: nearest neighbours and their distance in Å.
Atoms (fractional coordinates):
Pm 0.2319 0.3243 0.3426  5 Ho 3.37-3.71, 1 Dy 3.44, 4 Tm 3.45-3.51, 1 Pm 3.46
Pm 0.7681 0.6757 0.6574  5 Ho 3.37-3.71, 1 Dy 3.44, 4 Tm 3.45-3.51, 1 Pm 3.46
Dy 0.5000 0.0000 0.0000  4 Ho 3.31-3.54, 2 Pm 3.44
Ho 0.1181 0.1283 0.7610  1 Dy 3.31, 3 Tm 3.41-3.51, 2 Ho 3.42-3.43, 3 Pm 3.44-3.67
Ho 0.2392 0.5769 0.8846  4 Ho 3.32-3.71, 2 Pm 3.37-3.71, 2 Tm 3.50-3.69, 1 Dy 3.54
Ho 0.7608 0.4231 0.1154  4 Ho 3.32-3.71, 2 Pm 3.37-3.71, 2 Tm 3.50-3.69, 1 Dy 3.54
Ho 0.8819 0.8717 0.2390  1 Dy 3.31, 3 Tm 3.41-3.51, 2 Ho 3.42-3.43, 3 Pm 3.44-3.67
Tm 0.3200 0.7702 0.4453  5 Ho 3.41-3.69, 2 Tm 3.44-3.66, 4 Pm 3.45-3.51, 1 Dy 3.82
Tm 0.6800 0.2298 0.5547  5 Ho 3.41-3.69, 2 Tm 3.44-3.66, 4 Pm 3.45-3.51, 1 Dy 3.82


# 9
VASP calculation (PBE) on a relaxed UNbRh crystal.

The total energy comes out at -9.638 eV/atom. Its energy above the most stable polymorph in this dataset is 105 meV/atom.

a b c (Å): 4.9928 4.9928 4.9928
angles (deg): 137.75 137.75 61.28
Last column: nearest neighbours and their distance in Å.
Atoms (fractional coordinates):
U 0.0000 0.0000 0.0000  1 Nb 2.59, 4 Rh 2.85
Nb 0.3014 0.3014 0.0000  1 U 2.59, 4 Rh 2.86
Rh 0.6506 0.6506 0.0000  5 U 2.85-3.00, 5 Nb 2.86-3.00


# 10
VASP calculation (PBE) on a relaxed Li8Cd6Ni crystal.

The total energy comes out at -1.902 eV/atom.

a b c (Å): 7.3120 7.3120 7.3120
angles (deg): 59.78 59.78 59.78
Last column: nearest neighbours and their distance in Å.
Atoms (fractional coordinates):
Li 0.0818 0.0818 0.0818  4 Li 2.77-2.94, 6 Cd 2.95-3.03
Li 0.1748 0.6250 0.3120  3 Cd 2.74-2.91, 5 Li 2.77-2.97, 1 Ni 2.87
Li 0.3120 0.1748 0.6250  3 Cd 2.74-2.91, 5 Li 2.77-2.97, 1 Ni 2.87
Li 0.3750 0.6880 0.8252  3 Cd 2.74-2.91, 5 Li 2.77-2.97, 1 Ni 2.87
Li 0.6250 0.3120 0.1748  3 Cd 2.74-2.91, 5 Li 2.77-2.97, 1 Ni 2.87
Li 0.6880 0.8252 0.3750  3 Cd 2.74-2.91, 5 Li 2.77-2.97, 1 Ni 2.87
Li 0.8252 0.3750 0.6880  3 Cd 2.74-2.91, 5 Li 2.77-2.97, 1 Ni 2.87
Li 0.9182 0.9182 0.9182  4 Li 2.77-2.94, 6 Cd 2.95-3.03
Cd 0.0493 0.5575 0.7574  5 Li 2.74-3.03, 1 Ni 2.78, 1 Cd 2.97
Cd 0.2426 0.9507 0.4425  5 Li 2.74-3.03, 1 Ni 2.78, 1 Cd 2.97
Cd 0.4425 0.2426 0.9507  5 Li 2.74-3.03, 1 Ni 2.78, 1 Cd 2.97
Cd 0.5575 0.7574 0.0493  5 Li 2.74-3.03, 1 Ni 2.78, 1 Cd 2.97
Cd 0.7574 0.0493 0.5575  5 Li 2.74-3.03, 1 Ni 2.78, 1 Cd 2.97
Cd 0.9507 0.4425 0.2426  5 Li 2.74-3.03, 1 Ni 2.78, 1 Cd 2.97
Ni 0.5000 0.5000 0.5000  6 Cd 2.78, 6 Li 2.87


# 11
VASP calculation (PBE) on a relaxed SmTm2Si2Pt7 crystal.

For the raw formation energy, the calculation gives -1.0797 eV/atom. The total energy comes out at -6.646 eV/atom.

a b c (Å): 4.0393 4.0393 13.8107
angles (deg): 96.52 96.52 89.39
Last column: nearest neighbours and their distance in Å.
Atoms (fractional coordinates):
Sm 0.0000 0.0000 0.0000  12 Pt 2.84-3.05
Tm 0.1228 0.1228 0.3585  7 Pt 2.99-3.26, 4 Si 3.07-3.25
Tm 0.8772 0.8772 0.6415  7 Pt 2.99-3.26, 4 Si 3.07-3.25
Si 0.3977 0.3977 0.7383  5 Pt 2.31-2.40
Si 0.6023 0.6023 0.2617  5 Pt 2.31-2.40
Pt 0.0660 0.5655 0.1668  2 Si 2.40
Pt 0.3587 0.3587 0.5690  1 Si 2.31
Pt 0.4345 0.9340 0.8332  2 Si 2.40
Pt 0.5000 0.5000 0.0000  4 Sm 2.84-2.87, 8 Pt 3.04-3.05
Pt 0.5655 0.0660 0.1668  2 Si 2.40
Pt 0.6413 0.6413 0.4310  1 Si 2.31
Pt 0.9340 0.4345 0.8332  2 Si 2.40


# 12
VASP calculation (PBE) on a relaxed La2SnAsPd6 crystal.

The total energy comes out at -5.679 eV/atom.

a b c (Å): 5.5467 6.5694 6.7959
angles (deg): 75.31 66.07 65.44
Last column: nearest neighbours and their distance in Å.
Atoms (fractional coordinates):
La 0.0024 0.2369 0.2557  7 Pd 2.97-3.22
La 0.9976 0.7631 0.7443  7 Pd 2.97-3.22
Sn 0.5000 0.5000 0.0000  6 Pd 2.66-2.70
As 0.5000 0.0000 0.5000  6 Pd 2.52-2.68
Pd 0.0049 0.1987 0.7973  1 As 2.68, 1 Sn 2.70, 4 Pd 2.73-2.90, 1 La 2.99
Pd 0.3229 0.4228 0.4286  1 As 2.52, 1 Sn 2.66
Pd 0.4981 0.1974 0.7971  1 As 2.66, 1 Sn 2.70, 4 Pd 2.73-2.91
Pd 0.5019 0.8026 0.2029  1 As 2.66, 1 Sn 2.70, 4 Pd 2.73-2.91
Pd 0.6771 0.5772 0.5714  1 As 2.52, 1 Sn 2.66
Pd 0.9951 0.8013 0.2027  1 As 2.68, 1 Sn 2.70, 4 Pd 2.73-2.90, 1 La 2.99


- Which formula does entry 9 have?
  UNbRh


Repeat the twelfth record exactly.
VASP calculation (PBE) on a relaxed La2SnAsPd6 crystal.

The total energy comes out at -5.679 eV/atom.

a b c (Å): 5.5467 6.5694 6.7959
angles (deg): 75.31 66.07 65.44
Last column: nearest neighbours and their distance in Å.
Atoms (fractional coordinates):
La 0.0024 0.2369 0.2557  7 Pd 2.97-3.22
La 0.9976 0.7631 0.7443  7 Pd 2.97-3.22
Sn 0.5000 0.5000 0.0000  6 Pd 2.66-2.70
As 0.5000 0.0000 0.5000  6 Pd 2.52-2.68
Pd 0.0049 0.1987 0.7973  1 As 2.68, 1 Sn 2.70, 4 Pd 2.73-2.90, 1 La 2.99
Pd 0.3229 0.4228 0.4286  1 As 2.52, 1 Sn 2.66
Pd 0.4981 0.1974 0.7971  1 As 2.66, 1 Sn 2.70, 4 Pd 2.73-2.91
Pd 0.5019 0.8026 0.2029  1 As 2.66, 1 Sn 2.70, 4 Pd 2.73-2.91
Pd 0.6771 0.5772 0.5714  1 As 2.52, 1 Sn 2.66
Pd 0.9951 0.8013 0.2027  1 As 2.68, 1 Sn 2.70, 4 Pd 2.73-2.90, 1 La 2.99